Entry from Alexandria: a relaxed Ga4Ag5Au2 crystal (PBE-GGA).

Results
ρ   9.975 Mg/m³
M_tot   0.00 μB/f.u.
Uncorrected energy   -33.0 eV per cell
SG   C2/m (12)

Structure (extended XYZ):
```
11
Lattice="9.9294 -1.4949 0.0000 9.9294 1.4949 0.0000 -0.6397 0.0000 6.7973" Properties=species:S:1:pos:R:3 pbc="T T T"
Ga 0.5027 0.0000 2.2525
Ga 6.0415 0.0000 3.5747
Ga 13.1777 0.0000 3.2226
Ga 18.7165 0.0000 4.5448
Ag 2.6459 0.0000 0.6929
Ag 4.1897 0.0000 5.5423
Ag 9.9294 0.0000 0.0000
Ag 15.0295 0.0000 1.2550
Ag 16.5733 0.0000 6.1044
Au 1.4648 0.0000 4.6924
Au 17.7544 0.0000 2.1050
```

***

Entry from Alexandria: a relaxed GaAg6Au12 crystal (PBE-GGA).

Results
ρ   14.597 Mg/m³
M_tot   0.00 μB/f.u.
Uncorrected energy   -59.4 eV per cell
SG   R-3 (148)

Structure (extended XYZ):
```
19
Lattice="5.0638 2.9236 3.9450 -5.0638 2.9236 3.9450 0.0000 -5.8472 3.9450" Properties=species:S:1:pos:R:3 pbc="T T T"
Ga 0.0000 0.0000 0.0000
Ag -0.8103 -3.1591 4.4297
Ag -3.1411 -0.8778 7.4053
Ag -2.3307 2.2814 4.4297
Ag 2.3307 -2.2814 7.4053
Ag 3.1411 0.8778 4.4297
Ag 0.8104 3.1591 7.4053
Au -1.6445 0.3601 2.1895
Au 0.5104 -1.6042 2.1895
Au -1.7973 -0.5322 4.8374
Au 1.1341 1.2441 2.1895
Au -0.4377 -1.8226 6.9976
Au 1.3596 -1.2904 4.8374
Au -1.3596 1.2904 6.9976
Au 0.4377 1.8226 4.8374
Au -1.1341 -1.2441 9.6454
Au 1.7973 0.5322 6.9975
Au -0.5104 1.6042 9.6454
Au 1.6445 -0.3601 9.6454
```

***

Look up the M_tot of the second one.
0.00 μB/f.u.